First-principles (GGA-PBE) data for a relaxed structure of SrThGa4, as listed in the Alexandria database.

Geometry as POSCAR:
```
SrThGa4
1.0
4.139 0.000 -1.278
-0.395 4.120 -1.278
0.258 0.284 8.178
Sr Ga Th
1 4 1
Cartesian
0.868 3.232 2.811 Sr
3.497 1.570 3.983 Ga
2.773 0.774 1.639 Ga
1.785 1.964 5.781 Ga
2.218 2.440 -0.159 Ga
0.000 0.000 0.000 Th
```

Volume in Å³/f.u.: 142.4
E above lowest polymorph in meV/atom: 0
E_tot in eV per atom: -4.052
SG: I-4m2, No. 119

***

First-principles (GGA-PBE) data for a relaxed structure of EuErAlHg, as listed in the Alexandria database.

Geometry as POSCAR:
```
EuErAlHg
1.0
5.297 0.000 0.000
2.649 4.588 0.000
2.649 1.529 4.325
Eu Hg Er Al
1 1 1 1
Cartesian
0.000 0.000 0.000 Eu
7.946 4.588 3.244 Hg
5.297 3.058 2.163 Er
2.649 1.529 1.081 Al
```

Volume in Å³/f.u.: 105.1
E_tot in eV per atom: -5.076
SG: F-43m, No. 216

***

First-principles (GGA-PBE) data for a relaxed structure of MoPt3, as listed in the Alexandria database.

Geometry as POSCAR:
```
MoPt3
1.0
-1.760 -2.129 -0.182
1.679 -1.523 1.589
-3.877 2.637 6.627
Mo Pt
1 3
Cartesian
0.000 0.000 0.000 Mo
-1.938 1.319 3.313 Pt
-2.989 0.179 5.743 Pt
-0.969 -1.195 2.290 Pt
```

Volume in Å³/f.u.: 62.2
E_tot in eV per atom: -7.516
SG: P4/mmm, No. 123

***

First-principles (GGA-PBE) data for a relaxed structure of Cr2CoNi, as listed in the Alexandria database.

Geometry as POSCAR:
```
Cr2CoNi
1.0
-2.068 -0.939 3.363
-1.302 2.945 2.470
-3.963 0.838 0.245
Cr Ni Co
2 1 1
Cartesian
-1.833 0.711 1.520 Cr
-5.500 2.133 4.559 Cr
-3.666 1.422 3.039 Ni
0.000 0.000 0.000 Co
```

Volume in Å³/f.u.: 47.3
E above lowest polymorph in meV/atom: 192
E_tot in eV per atom: -7.813
SG: Fm-3m, No. 225

***

- E_tot of number 4 (Cr2CoNi)?
  -7.813 eV per atom

***

- Among the records above, which one has the highest E_tot?
  SrThGa4

***

- Look up the volume of the first one.
  142.4 Å³/f.u.